Arrangement 1

Here is YSbRhI2 after structural relaxation from Alexandria via LeMat-Bulk. Energies are from PBE.

The density is 6.28 g/cm³.

It has space group P4/mmm (No. 123), with a = 5.2698 Å, b = 5.2698 Å, c = 5.4025 Å, α = 90.00°, β = 90.00° and γ = 90.00°. Symmetry generates all atoms from Y at (0.0000, 0.0000, 0.0000), Sb at (0.5000, 0.5000, 0.0000), Rh at (0.5000, 0.5000, 0.5000) and I at (0.0000, 0.5000, 0.5000).

=====

Arrangement 2

Here is YSbRhI2 after structural relaxation from Alexandria via LeMat-Bulk. Energies are from PBE.

The density is 4.50 g/cm³.

It has space group P4/mmm (No. 123), with a = 5.8419 Å, b = 5.8419 Å, c = 6.1326 Å, α = 90.00°, β = 90.00° and γ = 90.00°. Symmetry generates all atoms from Y at (0.0000, 0.0000, 0.0000), Sb at (0.0000, 0.0000, 0.5000), Rh at (0.5000, 0.5000, 0.5000) and I at (0.0000, 0.5000, 0.0000).

=====

It turns out arrangement 1 is the most stable, with the second structure 0.480 eV/atom higher.

=====

Arrangement 1

Here is ZnSbRhI2 after structural relaxation from Alexandria via LeMat-Bulk. Energies are from PBE.

The density is 5.81 g/cm³.

It has space group P4/mmm (No. 123), with a = 5.4669 Å, b = 5.4669 Å, c = 5.2006 Å, α = 90.00°, β = 90.00° and γ = 90.00°. Symmetry generates all atoms from Zn at (0.0000, 0.0000, 0.0000), Sb at (0.0000, 0.0000, 0.5000), Rh at (0.5000, 0.5000, 0.5000) and I at (0.0000, 0.5000, 0.0000).

=====

Arrangement 2

Here is ZnSbRhI2 after structural relaxation from Alexandria via LeMat-Bulk. Energies are from PBE.

The density is 5.71 g/cm³.

It has space group P4/mmm (No. 123), with a = 5.6245 Å, b = 5.6245 Å, c = 4.9973 Å, α = 90.00°, β = 90.00° and γ = 90.00°. Symmetry generates all atoms from Zn at (0.0000, 0.0000, 0.0000), Sb at (0.5000, 0.5000, 0.0000), Rh at (0.5000, 0.5000, 0.5000) and I at (0.0000, 0.5000, 0.5000).

=====

It turns out arrangement 2 is the most stable, with the second structure 0.641 eV/atom higher.

=====

Arrangement 1

Here is ZnSb2RhI after structural relaxation from Alexandria via LeMat-Bulk. Energies are from PBE.

The density is 5.96 g/cm³.

It has space group P4/mmm (No. 123), with a = 5.1128 Å, b = 5.1128 Å, c = 5.7426 Å, α = 90.00°, β = 90.00° and γ = 90.00°. Symmetry generates all atoms from Zn at (0.0000, 0.0000, 0.0000), Sb at (0.0000, 0.5000, 0.5000), Rh at (0.5000, 0.5000, 0.5000) and I at (0.5000, 0.5000, 0.0000).

=====

Arrangement 2

Here is ZnSb2RhI after structural relaxation from Alexandria via LeMat-Bulk. Energies are from PBE.

The density is 6.37 g/cm³.

It has space group P4/mmm (No. 123), with a = 5.0890 Å, b = 5.0890 Å, c = 5.4268 Å, α = 90.00°, β = 90.00° and γ = 90.00°. Symmetry generates all atoms from Zn at (0.0000, 0.0000, 0.0000), Sb at (0.0000, 0.5000, 0.0000), Rh at (0.5000, 0.5000, 0.5000) and I at (0.0000, 0.0000, 0.5000).

=====

It turns out arrangement 1 is the most stable, with the second structure 0.606 eV/atom higher.

=====

Arrangement 1

Here is ZrSb2RhI after structural relaxation from Alexandria via LeMat-Bulk. Energies are from PBE.

The density is 5.47 g/cm³.

It has space group P4/mmm (No. 123), with a = 5.5398 Å, b = 5.5398 Å, c = 5.5837 Å, α = 90.00°, β = 90.00° and γ = 90.00°. Symmetry generates all atoms from Zr at (0.0000, 0.0000, 0.0000), Sb at (0.0000, 0.5000, 0.0000), Rh at (0.5000, 0.5000, 0.5000) and I at (0.0000, 0.0000, 0.5000).

=====

Arrangement 2

Here is ZrSb2RhI after structural relaxation from Alexandria via LeMat-Bulk. Energies are from PBE.

The density is 6.75 g/cm³.

It has space group P4/mmm (No. 123), with a = 5.1174 Å, b = 5.1174 Å, c = 5.3009 Å, α = 90.00°, β = 90.00° and γ = 90.00°. Symmetry generates all atoms from Zr at (0.0000, 0.0000, 0.0000), Sb at (0.0000, 0.5000, 0.5000), Rh at (0.5000, 0.5000, 0.5000) and I at (0.5000, 0.5000, 0.0000).

=====

It turns out arrangement 2 is the most stable, with the second structure 0.347 eV/atom higher.

=====

Arrangement 1

Here is ScRh3I after structural relaxation from Alexandria via LeMat-Bulk. Energies are from PBE.

The density is 7.18 g/cm³.

It has space group Pm-3m (No. 221), with a = 4.8080 Å, b = 4.8080 Å, c = 4.8080 Å, α = 90.00°, β = 90.00° and γ = 90.00°. Symmetry generates all atoms from Sc at (0.0000, 0.0000, 0.0000), Rh at (0.0000, 0.5000, 0.5000) and I at (0.5000, 0.5000, 0.5000).

=====

Arrangement 2

Here is ScRh3I after structural relaxation from Alexandria via LeMat-Bulk. Energies are from PBE.

The density is 7.41 g/cm³.

It has space group Pm-3m (No. 221), with a = 4.7579 Å, b = 4.7579 Å, c = 4.7579 Å, α = 90.00°, β = 90.00° and γ = 90.00°. Symmetry generates all atoms from Sc at (0.0000, 0.0000, 0.0000), Rh at (0.0000, 0.0000, 0.5000) and I at (0.5000, 0.5000, 0.5000).

=====

It turns out arrangement 1 is the most stable, with the second structure 0.196 eV/atom higher.

=====

Arrangement 1

Here is ScTe2RhI after structural relaxation from Alexandria via LeMat-Bulk. Energies are from PBE.

The density is 5.14 g/cm³.

It has space group P4/mmm (No. 123), with a = 5.5427 Å, b = 5.5427 Å, c = 5.5682 Å, α = 90.00°, β = 90.00° and γ = 90.00°. Symmetry generates all atoms from Sc at (0.0000, 0.0000, 0.0000), Te at (0.0000, 0.5000, 0.0000), Rh at (0.5000, 0.5000, 0.5000) and I at (0.0000, 0.0000, 0.5000).

=====

Arrangement 2

Here is ScTe2RhI after structural relaxation from Alexandria via LeMat-Bulk. Energies are from PBE.

The density is 6.06 g/cm³.

It has space group P4/mmm (No. 123), with a = 5.2787 Å, b = 5.2787 Å, c = 5.2140 Å, α = 90.00°, β = 90.00° and γ = 90.00°. Symmetry generates all atoms from Sc at (0.0000, 0.0000, 0.0000), Te at (0.0000, 0.5000, 0.5000), Rh at (0.5000, 0.5000, 0.5000) and I at (0.5000, 0.5000, 0.0000).

=====

It turns out arrangement 2 is the most stable, with the second structure 0.323 eV/atom higher.

=====

Arrangement 1

Here is RhSe2I after structural relaxation from Alexandria via LeMat-Bulk. Energies are from PBE.

The density is 6.98 g/cm³.

It has space group I4_1/amd (No. 141, origin choice 2), with a = 5.5398 Å, b = 5.5398 Å, c = 12.0173 Å, α = 90.00°, β = 90.00° and γ = 90.00°. Symmetry generates all atoms from Rh at (0.0000, 0.2500, 0.3750), Se at (0.0000, 0.2500, 0.1697) and I at (0.0000, 0.2500, 0.8750).

=====

Arrangement 2

Here is RhSe2I after structural relaxation from Alexandria via LeMat-Bulk. Energies are from PBE.

The density is 5.70 g/cm³.

It has space group P1 (No. 1), with a = 6.1736 Å, b = 6.1766 Å, c = 6.8155 Å, α = 74.39°, β = 82.53° and γ = 64.60°. Symmetry generates all atoms from Rh at (0.0000, 0.0000, 0.0000), Rh at (0.4934, 0.5061, 0.0000), Se at (0.0818, 0.6257, 0.8630), Se at (0.2496, 0.6810, 0.2775), Se at (0.3894, 0.9364, 0.8473), Se at (0.9062, 0.3801, 0.1190), I at (0.5764, 0.0283, 0.2048) and I at (0.7297, 0.3298, 0.6607).

=====

Arrangement 3

Here is RhSe2I after structural relaxation from Alexandria via LeMat-Bulk. Energies are from PBE.

The density is 4.63 g/cm³.

It has space group C2/c (No. 15), with a = 8.5956 Å, b = 12.3957 Å, c = 5.4904 Å, α = 90.00°, β = 108.05° and γ = 90.00°. Symmetry generates all atoms from Rh at (0.0000, 0.0004, 0.2500), Se at (0.1569, 0.1201, 0.0749) and I at (0.0000, 0.3955, 0.7500).

=====

Arrangement 4

Here is RhSe2I after structural relaxation from Alexandria via LeMat-Bulk. Energies are from PBE.

The density is 5.58 g/cm³.

It has space group P1 (No. 1), with a = 3.8233 Å, b = 6.9410 Å, c = 9.0206 Å, α = 86.44°, β = 89.20° and γ = 75.01°. Symmetry generates all atoms from Rh at (0.0000, 0.0000, 0.0000), Rh at (0.3697, 0.2271, 0.2983), Se at (0.1512, 0.3082, 0.5494), Se at (0.3915, 0.2358, 0.0236), Se at (0.7517, 0.4679, 0.3429), Se at (0.9853, 0.9863, 0.2724), I at (0.6380, 0.7058, 0.9908) and I at (0.9427, 0.0065, 0.6995).

=====

It turns out arrangement 4 is the most stable, with the second structure 0.039 eV/atom higher.

=====

Arrangement 1

Here is RhSe2I after structural relaxation from Alexandria via LeMat-Bulk. Energies are from PBE.

The density is 5.58 g/cm³.

It has space group Pna2_1 (No. 33), with a = 6.8679 Å, b = 12.1019 Å, c = 5.5570 Å, α = 90.00°, β = 90.00° and γ = 90.00°. Symmetry generates all atoms from Rh at (0.0209, 0.1290, 0.0000), Se at (0.1596, 0.0224, 0.6732), Se at (0.2265, 0.1489, 0.3316) and I at (0.1648, 0.3229, 0.8080).

=====

Arrangement 2

Here is RhSe2I after structural relaxation from Alexandria via LeMat-Bulk. Energies are from PBE.

The density is 5.88 g/cm³.

It has space group P3m1 (No. 156), with a = 3.3029 Å, b = 3.3029 Å, c = 11.5904 Å, α = 90.00°, β = 90.00° and γ = 120.00°. Symmetry generates all atoms from Rh at (0.0000, 0.0000, 0.0000), Se at (0.0000, 0.0000, 0.2111), Se at (0.3333, 0.6667, 0.8754) and I at (0.6667, 0.3333, 0.5671).

=====

It turns out arrangement 1 is the most stable, with the second structure 0.255 eV/atom higher.

=====

Arrangement 1

Here is RhSe2I after structural relaxation from Alexandria via LeMat-Bulk. Energies are from PBE.

The density is 7.82 g/cm³.

It has space group Fm-3m (No. 225), with a = 6.9072 Å, b = 6.9072 Å, c = 6.9072 Å, α = 90.00°, β = 90.00° and γ = 90.00°. Symmetry generates all atoms from Rh at (0.0000, 0.0000, 0.0000), Se at (0.2500, 0.2500, 0.2500) and I at (0.0000, 0.0000, 0.5000).

=====

Arrangement 2

Here is RhSe2I after structural relaxation from Alexandria via LeMat-Bulk. Energies are from PBE.

The density is 5.75 g/cm³.

It has space group P1 (No. 1), with a = 3.8577 Å, b = 7.2918 Å, c = 8.2150 Å, α = 96.24°, β = 102.93° and γ = 90.25°. Symmetry generates all atoms from Rh at (0.0000, 0.0000, 0.0000), Rh at (0.3195, 0.8061, 0.6173), Se at (0.4029, 0.5923, 0.3556), Se at (0.4656, 0.7867, 0.9322), Se at (0.8211, 0.5753, 0.6000), Se at (0.8632, 0.0245, 0.6977), I at (0.0911, 0.0103, 0.3448) and I at (0.5187, 0.2697, 0.0397).

=====

Arrangement 3

Here is RhSe2I after structural relaxation from Alexandria via LeMat-Bulk. Energies are from PBE.

The density is 6.01 g/cm³.

It has space group P1 (No. 1), with a = 5.0977 Å, b = 6.7245 Å, c = 7.0230 Å, α = 104.73°, β = 102.53° and γ = 105.01°. Symmetry generates all atoms from Rh at (0.0000, 0.0000, 0.0000), Rh at (0.1479, 0.8334, 0.4702), Se at (0.2541, 0.1691, 0.7755), Se at (0.4203, 0.0177, 0.2776), Se at (0.6369, 0.0419, 0.7341), Se at (0.7198, 0.7895, 0.1790), I at (0.1628, 0.4152, 0.2945) and I at (0.9317, 0.6266, 0.7224).

=====

It turns out arrangement 2 is the most stable, with the second structure 0.019 eV/atom higher.

=====

Arrangement 1

Here is RhSe2I after structural relaxation from Alexandria via LeMat-Bulk. Energies are from PBE.

The density is 6.18 g/cm³.

It has space group R-3m (No. 166, hexagonal axes), with a = 3.0437 Å, b = 3.0437 Å, c = 38.9696 Å, α = 90.00°, β = 90.00° and γ = 120.00°. Symmetry generates all atoms from Rh at (0.0000, 0.0000, 0.0000), Se at (0.0000, 0.0000, 0.0610) and I at (0.0000, 0.0000, 0.5000).

=====

Arrangement 2

Here is RhSe2I after structural relaxation from Alexandria via LeMat-Bulk. Energies are from PBE.

The density is 5.43 g/cm³.

It has space group P2_1/m (No. 11), with a = 3.8870 Å, b = 6.3724 Å, c = 9.6199 Å, α = 90.00°, β = 96.05° and γ = 90.00°. Symmetry generates all atoms from Rh at (0.2363, 0.2500, 0.4082), Se at (0.2698, 0.0027, 0.6235) and I at (0.2764, 0.2500, 0.1271).

=====

It turns out arrangement 2 is the most stable, with the second structure 0.498 eV/atom higher.

=====

Arrangement 1

Here is RhSe2I after structural relaxation from Alexandria via LeMat-Bulk. Energies are from PBE.

The density is 5.67 g/cm³.

It has space group P2_1/c (No. 14), with a = 7.1525 Å, b = 5.2944 Å, c = 12.3308 Å, α = 90.00°, β = 103.41° and γ = 90.00°. Symmetry generates all atoms from Rh at (0.0887, 0.0143, 0.4054), Se at (0.1154, 0.6692, 0.5362), Se at (0.3990, 0.1524, 0.5246) and I at (0.2082, 0.1934, 0.7515).

=====

Arrangement 2

Here is RhSe2I after structural relaxation from Alexandria via LeMat-Bulk. Energies are from PBE.

The density is 5.35 g/cm³.

It has space group Cmcm (No. 63), with a = 2.7959 Å, b = 35.4650 Å, c = 4.8567 Å, α = 90.00°, β = 90.00° and γ = 90.00°. Symmetry generates all atoms from Rh at (0.0000, 0.0248, 0.2500), Se at (0.0000, 0.0438, 0.7500), Se at (0.0000, 0.0955, 0.2500) and I at (0.0000, 0.3035, 0.2500).

=====

Arrangement 3

Here is RhSe2I after structural relaxation from Alexandria via LeMat-Bulk. Energies are from PBE.

The density is 7.12 g/cm³.

It has space group P4/mmm (No. 123), with a = 4.0455 Å, b = 4.0455 Å, c = 5.5281 Å, α = 90.00°, β = 90.00° and γ = 90.00°. Symmetry generates all atoms from Rh at (0.0000, 0.0000, 0.0000), Se at (0.0000, 0.0000, 0.5000), Se at (0.5000, 0.5000, 0.0000) and I at (0.5000, 0.5000, 0.5000).

=====

Arrangement 4

Here is RhSe2I after structural relaxation from Alexandria via LeMat-Bulk. Energies are from PBE.

The density is 6.21 g/cm³.

It has space group R-3m (No. 166, hexagonal axes), with a = 3.8901 Å, b = 3.8901 Å, c = 23.7388 Å, α = 90.00°, β = 90.00° and γ = 120.00°. Symmetry generates all atoms from Rh at (0.0000, 0.0000, 0.0000), Se at (0.0000, 0.0000, 0.3827) and I at (0.0000, 0.0000, 0.5000).

=====

It turns out arrangement 4 is the most stable, with the second structure 0.140 eV/atom higher.